Compound: Pr2HoEr4Tm
Source: Alexandria via LeMat-Bulk
Functional: PBE
Structure: optimized geometry

Summary:
Space-group type = No. 15
VASP energy = -66.88 eV/cell
Spin magnetization = 3.56 Bohr magnetons per cell

Lattice parameters (Å, degrees): 9.492 9.492 6.783 110.94 110.94 88.41
Positions (direct):
Pr (0.000, 0.000, 0.000)
Pr (0.000, 0.000, 0.500)
Pr (0.000, 0.500, 0.000)
Pr (0.500, 0.000, 0.500)
Ho (0.000, 0.500, 0.500)
Ho (0.500, 0.000, 0.000)
Er (0.254, 0.257, 0.505)
Er (0.255, 0.744, 0.999)
Er (0.256, 0.745, 0.501)
Er (0.257, 0.254, 0.005)
Er (0.743, 0.746, 0.995)
Er (0.744, 0.255, 0.499)
Er (0.745, 0.256, 0.001)
Er (0.746, 0.743, 0.495)
Tm (0.500, 0.500, 0.000)
Tm (0.500, 0.500, 0.500)

***

Compound: CrAgW2
Source: Alexandria via LeMat-Bulk
Functional: PBE
Structure: optimized geometry

Summary:
Space-group type = No. 119
Excess energy over the best structure of this formula in the dataset = 257 meV/atom
Spin magnetization = 0.71 Bohr magnetons per cell

Lattice parameters (Å, degrees): 4.730 4.730 4.730 129.33 129.33 74.49
Positions (direct):
Cr (0.000, 0.000, 0.000)
Ag (0.750, 0.250, 0.500)
W (0.250, 0.750, 0.500)
W (0.500, 0.500, 0.000)